(1)
A plane-wave DFT calculation with PBEsol was carried out for a relaxed CaFeS2 crystal.

E_form (uncorrected)	-0.658	eV per atom
symmetry	No. 225

```
CaFeS2
1.0
-1.512 -4.257 0.589
-0.183 -1.794 4.184
-4.032 -0.730 1.991
S Ca Fe
2 1 1
Cartesian
-1.432 -1.695 1.691 S
-4.296 -5.086 5.072 S
0.000 0.000 0.000 Ca
-2.864 -3.391 3.382 Fe
```

=====

(2)
A plane-wave DFT calculation with PBEsol was carried out for a relaxed TePb crystal.

E_form (uncorrected)	-0.278	eV per atom
symmetry	No. 8

```
TePb
1.0
-2.671 -2.016 2.925
1.848 -6.134 0.837
4.436 -0.963 6.765
Pb Te
3 3
Cartesian
-2.138 -2.668 2.962 Pb
2.510 -7.370 7.344 Pb
0.646 -4.508 4.237 Pb
2.243 -7.033 3.955 Te
3.310 -2.971 4.353 Te
4.897 -5.359 7.533 Te
```

=====

(3)
A plane-wave DFT calculation with PBEsol was carried out for a relaxed NaHfGa2 crystal.

symmetry	No. 225
ΔH_f (0 K)	-4	kJ/mol of formula units

```
NaHfGa2
1.0
-4.682 -0.386 -0.386
-2.325 -3.178 2.591
-2.781 1.418 3.532
Na Hf Ga
1 1 2
Cartesian
0.000 0.000 0.000 Na
-4.894 -1.073 2.869 Hf
-2.447 -0.537 1.434 Ga
-7.341 -1.610 4.303 Ga
```

=====

(4)
A plane-wave DFT calculation with PBEsol was carried out for a relaxed Be3CoF crystal.

E_form (uncorrected)	0.615	eV per atom
symmetry	No. 221

```
Be3CoF
1.0
3.968 0.000 0.000
0.000 3.968 0.000
0.000 0.000 3.968
Be Co F
3 1 1
Cartesian
0.000 1.984 0.000 Be
0.000 0.000 1.984 Be
1.984 0.000 0.000 Be
0.000 0.000 0.000 Co
1.984 1.984 1.984 F
```

=====

(5)
A plane-wave DFT calculation with PBEsol was carried out for a relaxed SbSeBr2Cl crystal.

E_form (uncorrected)	0.576	eV per atom
symmetry	No. 123

```
SbSeBr2Cl
1.0
5.077 0.000 0.000
0.000 5.077 0.000
0.000 0.000 5.113
Sb Se Br Cl
1 1 2 1
Cartesian
2.538 2.538 2.556 Sb
0.000 0.000 2.556 Se
0.000 2.538 0.000 Br
2.538 0.000 0.000 Br
0.000 0.000 0.000 Cl
```

=====

(6)
A plane-wave DFT calculation with PBEsol was carried out for a relaxed SrCa3 crystal.

symmetry	No. 166
distance to the lowest polymorph of the same formula	0.005	eV per atom
ΔH_f (0 K)	6	kJ/mol of formula units

```
SrCa3
1.0
3.939 0.000 0.000
1.969 3.411 0.000
1.969 1.137 12.823
Sr Ca
1 3
Cartesian
0.000 0.000 0.000 Sr
1.969 1.137 3.307 Ca
3.939 2.274 6.412 Ca
5.908 3.411 9.516 Ca
```

=====

(7)
A plane-wave DFT calculation with PBEsol was carried out for a relaxed NaCaN3 crystal.

E_form (uncorrected)	1.564	eV per atom
symmetry	No. 221

```
NaCaN3
1.0
-0.276 3.241 3.255
-3.713 -2.077 1.753
2.704 -2.522 2.740
Na Ca N
1 1 3
Cartesian
-0.643 -0.679 3.874 Na
0.000 0.000 0.000 Ca
-1.857 -1.039 0.877 N
1.352 -1.261 1.370 N
-0.138 1.620 1.628 N
```

=====

(8)
A plane-wave DFT calculation with PBEsol was carried out for a relaxed CsZnP2S crystal.

E_form (uncorrected)	1.854	eV per atom
symmetry	No. 123

```
CsZnP2S
1.0
5.521 0.000 0.000
0.000 7.027 0.000
0.000 0.000 7.027
Cs P Zn S
1 2 1 1
Cartesian
0.000 0.000 0.000 Cs
0.000 0.000 3.513 P
0.000 3.513 0.000 P
2.760 3.513 3.513 Zn
2.760 0.000 0.000 S
```

=====

(9)
A plane-wave DFT calculation with PBEsol was carried out for a relaxed Mg2TaP crystal.

symmetry	No. 216
ΔH_f (0 K)	131	kJ/mol of formula units

```
Mg2TaP
1.0
-0.451 -4.371 1.150
3.678 -2.490 0.949
0.809 -1.320 4.270
Mg P Ta
2 1 1
Cartesian
0.000 0.000 0.000 Mg
3.026 -6.136 4.776 Mg
2.018 -4.090 3.184 P
1.009 -2.045 1.592 Ta
```

=====

(10)
A plane-wave DFT calculation with PBEsol was carried out for a relaxed CaIn crystal.

symmetry	No. 194
ΔH_f (0 K)	-53	kJ/mol of formula units

```
CaIn
1.0
-1.814 1.191 -2.927
2.095 -2.971 -0.240
-8.010 -5.855 2.584
Ca In
2 2
Cartesian
0.000 0.000 0.000 Ca
-4.005 -2.928 1.292 Ca
-6.519 -4.588 -0.093 In
-1.211 -3.048 -0.489 In
```

=====

(11)
A plane-wave DFT calculation with PBEsol was carried out for a relaxed Ta2TcHIr crystal.

symmetry	No. 123
uncorrected energy	-10.154	eV per atom

```
Ta2TcHIr
1.0
-0.232 0.611 3.585
-3.927 -1.580 0.015
1.557 -3.863 0.760
H Ir Tc Ta
1 1 1 2
Cartesian
0.000 0.000 0.000 H
-0.116 0.306 1.792 Ir
-1.301 -2.416 2.180 Tc
0.779 -1.931 0.380 Ta
-1.964 -0.790 0.008 Ta
```

=====

(12)
A plane-wave DFT calculation with PBEsol was carried out for a relaxed TcAgHg2 crystal.

symmetry	No. 119
distance to the lowest polymorph of the same formula	0.137	eV per atom
ΔH_f (0 K)	227	kJ/mol of formula units

```
TcAgHg2
1.0
-3.055 -2.049 1.910
-1.217 -1.575 -3.636
4.659 -1.429 1.422
Ag Hg Tc
1 2 1
Cartesian
0.653 -2.408 -1.538 Ag
0.000 0.000 0.000 Hg
-0.266 -2.645 1.235 Hg
-2.136 -1.812 -0.863 Tc
```

=====

(13)
A plane-wave DFT calculation with PBEsol was carried out for a relaxed RbFeN2 crystal.

E_form (uncorrected)	0.638	eV per atom
symmetry	No. 166
distance to the lowest polymorph of the same formula	0.000	eV per atom

```
RbFeN2
1.0
-2.715 -1.184 -0.733
-0.518 -0.985 -2.841
1.136 -6.868 0.536
Fe Rb N
1 1 2
Cartesian
-1.048 -4.518 -1.518 Fe
0.000 0.000 0.000 Rb
-2.408 -4.459 -2.930 N
0.311 -4.578 -0.107 N
```

=====

(14)
A plane-wave DFT calculation with PBEsol was carried out for a relaxed Y4ScFe crystal.

symmetry	No. 216
ΔH_f (0 K)	442	kJ/mol of formula units

```
Y4ScFe
1.0
6.146 0.000 0.000
3.073 5.322 0.000
3.073 1.774 5.018
Fe Sc Y
1 1 4
Cartesian
9.219 5.322 3.763 Fe
0.000 0.000 0.000 Sc
4.611 2.662 1.883 Y
6.146 3.548 4.388 Y
7.680 2.662 1.883 Y
6.146 5.320 1.883 Y
```

=====

(15)
A plane-wave DFT calculation with PBEsol was carried out for a relaxed K2CdAg crystal.

symmetry	No. 123
distance to the lowest polymorph of the same formula	0.092	eV per atom
ΔH_f (0 K)	55	kJ/mol of formula units

```
K2CdAg
1.0
4.036 0.000 0.000
0.000 4.036 0.000
0.000 0.000 8.193
K Ag Cd
2 1 1
Cartesian
0.000 0.000 6.295 K
0.000 0.000 1.898 K
2.018 2.018 0.000 Ag
2.018 2.018 4.096 Cd
```

=====

(16)
A plane-wave DFT calculation with PBEsol was carried out for a relaxed CsOsSe2Br crystal.

E_form (uncorrected)	-0.192	eV per atom
symmetry	No. 123

```
CsOsSe2Br
1.0
4.840 0.000 0.000
0.000 4.840 0.000
0.000 0.000 5.592
Cs Os Se Br
1 1 2 1
Cartesian
2.420 2.420 2.796 Cs
0.000 0.000 0.000 Os
0.000 2.420 0.000 Se
2.420 0.000 0.000 Se
0.000 0.000 2.796 Br
```

=====

(17)
A plane-wave DFT calculation with PBEsol was carried out for a relaxed Cr2HgSe crystal.

E_form (uncorrected)	0.538	eV per atom
symmetry	No. 225

```
Cr2HgSe
1.0
4.668 0.000 0.000
2.334 4.043 0.000
2.334 1.348 3.812
Cr Hg Se
2 1 1
Cartesian
2.334 1.348 0.953 Cr
7.002 4.043 2.859 Cr
4.668 2.695 1.906 Hg
0.000 0.000 0.000 Se
```

=====

(18)
A plane-wave DFT calculation with PBEsol was carried out for a relaxed NbWC3 crystal.

symmetry	No. 221
ΔH_f (0 K)	794	kJ/mol of formula units

```
NbWC3
1.0
3.957 0.000 0.000
0.000 3.957 0.000
0.000 0.000 3.957
Nb C W
1 3 1
Cartesian
1.979 1.979 1.979 Nb
0.000 1.979 0.000 C
0.000 0.000 1.979 C
1.979 0.000 0.000 C
0.000 0.000 0.000 W
```

=====

(19)
A plane-wave DFT calculation with PBEsol was carried out for a relaxed Zn5Cu4 crystal.

symmetry	No. 193
distance to the lowest polymorph of the same formula	0.009	eV per atom
ΔH_f (0 K)	-52	kJ/mol of formula units

```
Zn5Cu4
1.0
-4.360 1.738 -1.914
2.452 -1.175 -6.652
-3.585 -5.169 3.473
Cu Zn
8 10
Cartesian
0.000 0.000 0.000 Cu
-2.180 0.869 -0.957 Cu
-4.561 -0.559 -0.184 Cu
-2.387 0.880 -3.832 Cu
-3.995 -2.756 -3.469 Cu
-3.384 -2.873 1.744 Cu
0.479 -0.318 -4.734 Cu
-1.498 -1.851 -1.623 Cu
-5.764 -2.292 0.980 Zn
-1.564 0.486 -6.062 Zn
-3.615 -0.628 -2.403 Zn
-2.181 -1.139 0.579 Zn
-0.343 0.077 -2.504 Zn
-1.878 -3.979 -2.689 Zn
-1.573 -3.838 0.098 Zn
-1.740 -1.638 -4.234 Zn
0.440 -2.507 -3.277 Zn
-3.753 -2.969 -0.859 Zn
```

=====

(20)
A plane-wave DFT calculation with PBEsol was carried out for a relaxed MnSb2Cl crystal.

E_form (uncorrected)	0.245	eV per atom
symmetry	No. 47
distance to the lowest polymorph of the same formula	0.284	eV per atom

```
MnSb2Cl
1.0
-2.515 -1.623 -1.181
0.236 -3.109 3.770
-3.501 3.291 2.932
Sb Mn Cl
2 1 1
Cartesian
0.000 0.000 0.000 Sb
-3.008 0.834 0.876 Sb
-1.632 0.091 3.351 Mn
-1.140 -2.366 1.295 Cl
```

=====

(21)
A plane-wave DFT calculation with PBEsol was carried out for a relaxed Mn2FeRhI crystal.

E_form (uncorrected)	1.059	eV per atom
symmetry	No. 123

```
Mn2FeRhI
1.0
4.596 0.000 0.000
0.000 4.802 0.000
0.000 0.000 4.802
I Mn Rh Fe
1 2 1 1
Cartesian
2.298 2.401 2.401 I
0.000 0.000 2.401 Mn
0.000 2.401 0.000 Mn
0.000 0.000 0.000 Rh
2.298 0.000 0.000 Fe
```

=====

(22)
A plane-wave DFT calculation with PBEsol was carried out for a relaxed Li2SiSe crystal.

E_form (uncorrected)	-0.388	eV per atom
symmetry	No. 65
distance to the lowest polymorph of the same formula	0.019	eV per atom

```
Li2SiSe
1.0
-0.994 -0.816 2.470
-4.012 -1.733 -2.188
3.354 -3.550 0.178
Si Se Li
1 1 2
Cartesian
-0.826 -3.050 0.230 Si
-0.497 -0.408 1.235 Se
-2.006 -0.867 -1.094 Li
1.677 -1.775 0.089 Li
```

=====

(23)
A plane-wave DFT calculation with PBEsol was carried out for a relaxed Co2SiO4 crystal.

E_form (uncorrected)	-1.511	eV per atom
symmetry	No. 74
distance to the lowest polymorph of the same formula	0.030	eV per atom

```
Co2SiO4
1.0
5.705 0.000 0.000
2.853 7.021 -0.004
2.853 2.218 6.661
Co Si O
8 4 16
Cartesian
4.279 2.292 4.182 Co
4.279 6.947 2.475 Co
7.131 6.947 2.475 Co
7.131 2.292 4.182 Co
5.705 6.871 5.074 Co
5.705 2.368 1.583 Co
0.000 0.000 0.000 Co
5.705 4.620 3.329 Co
2.853 4.053 1.726 Si
8.558 5.186 4.931 Si
2.853 1.699 0.030 Si
8.558 7.540 6.627 Si
1.497 1.171 0.789 O
7.202 8.068 5.868 O
4.208 3.500 2.468 O
4.208 5.739 4.189 O
9.913 8.068 5.868 O
4.208 1.171 0.789 O
7.202 5.739 4.189 O
7.202 3.500 2.468 O
8.558 3.552 5.048 O
2.853 5.687 1.609 O
5.705 5.727 1.553 O
5.705 3.512 5.104 O
5.705 1.210 3.191 O
5.705 8.029 3.466 O
8.558 5.863 6.473 O
2.853 3.376 0.184 O
```

=====

(24)
A plane-wave DFT calculation with PBEsol was carried out for a relaxed MnBeSbTe2 crystal.

E_form (uncorrected)	0.685	eV per atom
symmetry	No. 123

```
MnBeSbTe2
1.0
-1.290 3.578 2.558
-3.399 1.324 -3.566
-3.523 -2.900 2.280
Sb Te Mn Be
1 2 1 1
Cartesian
-0.645 1.789 1.279 Sb
-1.761 -1.450 1.140 Te
-1.699 0.662 -1.783 Te
-4.106 1.001 0.636 Mn
0.000 0.000 0.000 Be
```

=====

(25)
A plane-wave DFT calculation with PBEsol was carried out for a relaxed Re2SiP crystal.

E_form (uncorrected)	0.243	eV per atom
symmetry	No. 119
distance to the lowest polymorph of the same formula	0.283	eV per atom

```
Re2SiP
1.0
3.844 0.000 0.000
0.000 3.844 0.000
-1.922 -1.922 3.684
P Re Si
1 2 1
Cartesian
0.000 1.922 1.842 P
0.000 0.000 0.000 Re
1.922 0.000 1.842 Re
1.922 1.922 0.000 Si
```